# La2PIr PBE relaxed
data_La2PIr
_chemical_formula_sum 'La2 P1 Ir1'
_space_group_name_H-M_alt 'P 4 m m'
_space_group_IT_number 99
_space_group_name_Hall 'P 4 -2'
_cell_length_a 4.237
_cell_length_b 4.237
_cell_length_c 5.977
_cell_angle_alpha 90.00
_cell_angle_beta 90.00
_cell_angle_gamma 90.00
loop_
_atom_site_label
_atom_site_fract_x
_atom_site_fract_y
_atom_site_fract_z
La1 0.000 0.000 0.000
La2 0.500 0.500 0.499
P1 0.000 0.000 0.500
Ir1 0.500 0.500 0.000
# **Raw total energy**: -7.047 eV per atom
# **Calculated formation energy**: -1.016 eV/atom

---

# LaP3Ir PBE relaxed
data_LaP3Ir
_chemical_formula_sum 'La1 P3 Ir1'
_space_group_name_H-M_alt 'P m -3 m'
_space_group_IT_number 221
_space_group_name_Hall '-P 4 2 3'
_cell_length_a 4.713
_cell_length_b 4.713
_cell_length_c 4.713
_cell_angle_alpha 90.00
_cell_angle_beta 90.00
_cell_angle_gamma 90.00
loop_
_atom_site_label
_atom_site_fract_x
_atom_site_fract_y
_atom_site_fract_z
La1 0.000 0.000 0.000
P1 0.000 0.500 0.500
Ir1 0.500 0.500 0.500
# **Raw total energy**: -6.179 eV per atom
# **Distance to the lowest polymorph of the same formula**: 0 meV per atom
# **Calculated formation energy**: -0.175 eV/atom

---

# LaPIr3 PBE relaxed
data_LaPIr3
_chemical_formula_sum 'La1 P1 Ir3'
_space_group_name_H-M_alt 'P m -3 m'
_space_group_IT_number 221
_space_group_name_Hall '-P 4 2 3'
_cell_length_a 4.556
_cell_length_b 4.556
_cell_length_c 4.556
_cell_angle_alpha 90.00
_cell_angle_beta 90.00
_cell_angle_gamma 90.00
loop_
_atom_site_label
_atom_site_fract_x
_atom_site_fract_y
_atom_site_fract_z
La1 0.000 0.000 0.000
P1 0.500 0.500 0.500
Ir1 0.000 0.500 0.500
# **Raw total energy**: -7.653 eV per atom
# **Distance to the lowest polymorph of the same formula**: 0 meV per atom
# **Calculated formation energy**: -0.269 eV/atom

---

# La2PIr PBE relaxed
data_La2PIr
_chemical_formula_sum 'La4 P2 Ir2'
_space_group_name_H-M_alt 'C m m 2'
_space_group_IT_number 35
_space_group_name_Hall 'C 2 -2'
_cell_length_a 4.441
_cell_length_b 5.997
_cell_length_c 8.250
_cell_angle_alpha 90.00
_cell_angle_beta 90.00
_cell_angle_gamma 90.00
loop_
_atom_site_label
_atom_site_fract_x
_atom_site_fract_y
_atom_site_fract_z
La1 0.000 0.000 0.000
La2 0.000 0.500 0.429
P1 0.000 0.500 0.772
Ir1 0.000 0.000 0.656
# **Raw total energy**: -6.362 eV per atom
# **Calculated formation energy**: -0.330 eV/atom

---

# LaP4Ir5 PBE relaxed
data_LaP4Ir5
_chemical_formula_sum 'La2 P8 Ir10'
_space_group_name_H-M_alt 'P 1 21/m 1'
_space_group_IT_number 11
_space_group_name_Hall '-P 2yb'
_cell_length_a 4.221
_cell_length_b 6.873
_cell_length_c 11.641
_cell_angle_alpha 90.00
_cell_angle_beta 90.18
_cell_angle_gamma 90.00
loop_
_atom_site_label
_atom_site_fract_x
_atom_site_fract_y
_atom_site_fract_z
La1 0.062 0.250 0.251
P1 0.220 0.750 0.035
P2 0.221 0.750 0.464
P3 0.471 0.067 0.750
Ir1 0.034 0.750 0.251
Ir2 0.256 0.041 0.931
Ir3 0.257 0.040 0.569
# **Raw total energy**: -7.620 eV per atom
# **Calculated formation energy**: -0.533 eV/atom

---

# La2P2Ir PBE relaxed
data_La2P2Ir
_chemical_formula_sum 'La4 P4 Ir2'
_space_group_name_H-M_alt 'P 4/m b m'
_space_group_IT_number 127
_space_group_name_Hall '-P 4 2ab'
_cell_length_a 6.978
_cell_length_b 6.978
_cell_length_c 4.350
_cell_angle_alpha 90.00
_cell_angle_beta 90.00
_cell_angle_gamma 90.00
loop_
_atom_site_label
_atom_site_fract_x
_atom_site_fract_y
_atom_site_fract_z
La1 0.161 0.339 0.000
P1 0.156 0.656 0.500
Ir1 0.000 0.000 0.500
# **Raw total energy**: -6.891 eV per atom
# **Calculated formation energy**: -0.984 eV/atom

---

# LaP3Ir6 PBE relaxed
data_LaP3Ir6
_chemical_formula_sum 'La1 P3 Ir6'
_space_group_name_H-M_alt 'P 1'
_space_group_IT_number 1
_space_group_name_Hall 'P 1'
_cell_length_a 5.641
_cell_length_b 5.871
_cell_length_c 6.067
_cell_angle_alpha 111.62
_cell_angle_beta 111.03
_cell_angle_gamma 97.95
loop_
_atom_site_label
_atom_site_fract_x
_atom_site_fract_y
_atom_site_fract_z
La1 0.000 0.000 0.000
P1 0.383 0.900 0.678
P2 0.620 0.213 0.405
P3 0.765 0.567 0.146
Ir1 0.023 0.460 0.939
Ir2 0.038 0.504 0.509
Ir3 0.448 0.311 0.704
Ir4 0.464 0.810 0.037
Ir5 0.520 0.594 0.403
Ir6 0.940 0.997 0.478
# **Raw total energy**: -7.925 eV per atom
# **Calculated formation energy**: -0.493 eV/atom

---

# LaPIr PBE relaxed
data_LaPIr
_chemical_formula_sum 'La2 P2 Ir2'
_space_group_name_H-M_alt 'P m m a'
_space_group_IT_number 51
_space_group_name_Hall '-P 2a 2a'
_cell_length_a 4.315
_cell_length_b 4.174
_cell_length_c 7.194
_cell_angle_alpha 90.00
_cell_angle_beta 90.00
_cell_angle_gamma 90.00
loop_
_atom_site_label
_atom_site_fract_x
_atom_site_fract_y
_atom_site_fract_z
La1 0.250 0.000 0.249
P1 0.250 0.500 0.582
Ir1 0.250 0.500 0.900
# **Raw total energy**: -7.319 eV per atom
# **Calculated formation energy**: -0.920 eV/atom

---

- Among the records above, which one has the highest calculated formation energy?
  LaP3Ir

---

- Which of these has the highest raw total energy?
  LaP3Ir

---

- Among the records above, which one has the lowest raw total energy?
  LaP3Ir6